## P
A geometry-optimized Cr2SeCl structure. Source: the Alexandria database, functional GGA-PBE.

The space group is Cmmm (No. 65) and the conventional cell measures 3.6892, 7.0569 and 7.1869 Å, with angles of 90.00, 90.00 and 90.00 degrees. The asymmetric unit holds Cr at (0.0000, 0.0000, 0.2387), Se at (0.0000, 0.5000, 0.0000) and Cl at (0.0000, 0.5000, 0.5000).

The crystal system is orthorhombic. The total moment is 18.00 μB per cell.


## Q
A geometry-optimized Cr2SeCl structure. Source: the Alexandria database, functional GGA-PBE.

The space group is I-42d (No. 122) and the conventional cell measures 6.0270, 6.0270 and 11.1244 Å, with angles of 90.00, 90.00 and 90.00 degrees. The asymmetric unit holds Cr at (0.2375, 0.2500, 0.1250), Se at (0.0000, 0.0000, 0.0000) and Cl at (0.0000, 0.0000, 0.5000).

The crystal system is tetragonal. The total moment is 36.00 μB per cell.


## R
A geometry-optimized Cr2SeCl structure. Source: the Alexandria database, functional GGA-PBE.

The space group is Imm2 (No. 44) and the conventional cell measures 3.5036, 3.5893 and 13.1472 Å, with angles of 90.00, 90.00 and 90.00 degrees. The asymmetric unit holds Cr at (0.0000, 0.0000, 0.0000), Cr at (0.0000, 0.5000, 0.2174), Se at (0.0000, 0.5000, 0.6547) and Cl at (0.0000, 0.0000, 0.4069).

The crystal system is orthorhombic. The total moment is 18.00 μB per cell.


Going by the energies, Q is most stable and the next is 26 meV/atom up.